[1]
An optimized crystal structure of Sm3Cd5, computed with PBE-GGA.

Unit cell a=5.1817 b=6.5580 c=6.5580 alpha=108.52 beta=90.00 gamma=90.00
Closest atoms and distances in Å follow each position.
Sites, in units of the cell vectors:
Sm 0.0000 0.5000 0.5000  8 Cd 3.17-3.28
Cd 0.0000 0.0000 0.0000  8 Cd 3.28, 4 Sm 3.54
Sm 0.5000 0.7729 0.2271  8 Cd 3.14-3.43
Sm 0.5000 0.2271 0.7729  8 Cd 3.14-3.43
Cd 0.5000 0.7379 0.7379  6 Sm 3.14-3.43, 2 Cd 3.28
Cd 0.0000 0.0000 0.5000  6 Sm 3.23-3.28, 2 Cd 3.28
Cd 0.5000 0.2621 0.2621  6 Sm 3.14-3.43, 2 Cd 3.28
Cd 0.0000 0.5000 0.0000  6 Sm 3.23-3.28, 2 Cd 3.28

Values from the calculation:
E above lowest polymorph = 0 meV per atom
formation energy = -0.289 eV per atom
VASP energy = -21.05 eV per cell



[2]
An optimized crystal structure of ScTa3N, computed with PBE-GGA.

Unit cell a=4.3344 b=4.3344 c=4.3344 alpha=90.00 beta=90.00 gamma=90.00
Closest atoms and distances in Å follow each position.
Sites, in units of the cell vectors:
Sc 0.5000 0.5000 0.5000  12 Ta 3.06
N 0.0000 0.0000 0.0000  6 Ta 2.17
Ta 0.0000 0.5000 0.0000  2 N 2.17
Ta 0.0000 0.0000 0.5000  2 N 2.17
Ta 0.5000 0.0000 0.0000  2 N 2.17

Values from the calculation:
E above lowest polymorph = 0 meV per atom
VASP energy = -52.30 eV per cell
formation energy without anion corrections = -0.4163 eV per atom



[3]
An optimized crystal structure of Ce6Zn2O, computed with PBE-GGA.

Unit cell a=6.3729 b=6.3724 c=10.0717 alpha=90.00 beta=89.99 gamma=90.00
Closest atoms and distances in Å follow each position.
Sites, in units of the cell vectors:
Ce 0.7167 0.7254 0.5001  1 O 2.51
O 0.0000 0.0000 0.5000  6 Ce 2.35-2.51
Zn 0.9995 0.4996 0.7499  12 Ce 3.19-3.42
Zn 0.5005 0.9996 0.7501  12 Ce 3.19-3.42
Zn 0.4995 0.0004 0.2499  12 Ce 3.19-3.42
Ce 0.2167 0.7746 0.0001  1 O 2.51
Ce 0.5007 0.5005 0.2333  1 O 2.35
O 0.5000 0.5000 0.0000  6 Ce 2.35-2.51
Ce 0.7748 0.7831 0.9998  1 O 2.51
Ce 0.7252 0.2831 0.5002  1 O 2.51
Ce 0.2833 0.2746 0.4999  1 O 2.51
Ce 0.4993 0.4995 0.7667  1 O 2.35
Ce 0.7833 0.2254 0.9999  1 O 2.51
Ce 0.0007 0.9995 0.7333  1 O 2.35
Ce 0.2748 0.7169 0.4998  1 O 2.51
Ce 0.9993 0.0005 0.2667  1 O 2.35
Zn 0.0005 0.5004 0.2501  12 Ce 3.19-3.42
Ce 0.2252 0.2169 0.0002  1 O 2.51

Values from the calculation:
VASP energy = -97.22 eV per cell
formation energy without anion corrections = -0.6111 eV per atom



[4]
An optimized crystal structure of Ca6GaAu5, computed with PBE-GGA.

Unit cell a=5.1556 b=7.2586 c=8.9843 alpha=66.17 beta=72.74 gamma=90.00
Closest atoms and distances in Å follow each position.
Sites, in units of the cell vectors:
Au 0.3387 0.8379 0.3242  8 Ca 3.11-3.20
Ca 0.1676 0.9177 0.6640  7 Au 3.14-3.20, 1 Ga 3.18
Ca 0.8324 0.0823 0.3360  7 Au 3.14-3.20, 1 Ga 3.18
Ga 0.0000 0.0000 0.0000  8 Ca 3.16-3.18
Au 0.0000 0.5000 0.0000  8 Ca 3.15-3.18
Au 0.6613 0.1621 0.6758  8 Ca 3.11-3.20
Ca 0.5000 0.7483 0.0000  6 Au 3.11-3.16, 2 Ga 3.16
Au 0.6672 0.6670 0.6659  8 Ca 3.14-3.16
Au 0.3328 0.3330 0.3341  8 Ca 3.14-3.16
Ca 0.1676 0.4184 0.6641  7 Au 3.14-3.20, 1 Ga 3.18
Ca 0.8324 0.5816 0.3359  7 Au 3.14-3.20, 1 Ga 3.18
Ca 0.5000 0.2517 0.0000  6 Au 3.11-3.16, 2 Ga 3.16

Values from the calculation:
formation energy = -0.727 eV per atom
VASP energy = -40.15 eV per cell



[5]
An optimized crystal structure of RbTmSi2O6, computed with PBE-GGA.

Unit cell a=7.1290 b=7.1290 c=5.5205 alpha=98.90 beta=98.90 gamma=87.28
Closest atoms and distances in Å follow each position.
Sites, in units of the cell vectors:
O 0.3167 0.4494 0.3678  1 Si 1.65
Si 0.6976 0.8615 0.2000  4 O 1.62-1.69
O 0.3799 0.9215 0.7486  1 Si 1.62
Si 0.1385 0.3024 0.3000  4 O 1.62-1.69
O 0.6201 0.0785 0.2514  1 Si 1.62
O 0.6833 0.5506 0.6322  1 Si 1.65
Rb 0.1822 0.8178 0.2500  8 O 2.80-2.89
O 0.5506 0.6833 0.1322  1 Si 1.65
O 0.9215 0.3799 0.2486  1 Si 1.62
Rb 0.8178 0.1822 0.7500  8 O 2.80-2.89
O 0.4494 0.3167 0.8678  1 Si 1.65
O 0.8399 0.8237 0.4632  2 Si 1.68-1.69
Tm 0.3863 0.6137 0.7500  6 O 2.19-2.31
Si 0.3024 0.1385 0.8000  4 O 1.62-1.69
Tm 0.6137 0.3863 0.2500  6 O 2.19-2.31
O 0.0785 0.6201 0.7514  1 Si 1.62
O 0.1763 0.1601 0.0368  2 Si 1.68-1.69
O 0.1601 0.1763 0.5368  2 Si 1.68-1.69
O 0.8237 0.8399 0.9632  2 Si 1.68-1.69
Si 0.8615 0.6976 0.7000  4 O 1.62-1.69

Values from the calculation:
VASP energy = -149.99 eV per cell
formation energy without anion corrections = -2.8958 eV per atom



[6]
An optimized crystal structure of Ac6RuAu, computed with PBE-GGA.

Unit cell a=7.3911 b=7.3922 c=8.2353 alpha=63.34 beta=63.36 gamma=60.02
Closest atoms and distances in Å follow each position.
Sites, in units of the cell vectors:
Ac 0.7634 0.0679 0.7596  1 Ru 2.93, 1 Au 3.15
Ac 0.2366 0.9321 0.2404  1 Ru 2.93, 1 Au 3.15
Ac 0.9319 0.5912 0.2405  1 Ru 2.93, 1 Au 3.15
Au 0.5000 0.5000 0.5000  6 Ac 3.15
Ru 0.0000 0.0000 0.0000  6 Ac 2.93
Ac 0.5913 0.2365 0.2403  1 Ru 2.93, 1 Au 3.15
Ac 0.4087 0.7635 0.7597  1 Ru 2.93, 1 Au 3.15
Ac 0.0681 0.4088 0.7595  1 Ru 2.93, 1 Au 3.15

Values from the calculation:
formation energy = -0.226 eV per atom
VASP energy = -39.01 eV per cell



[7]
An optimized crystal structure of NdTcN4, computed with PBE-GGA.

Unit cell a=5.3188 b=5.3188 c=7.2157 alpha=111.63 beta=111.63 gamma=90.00
Closest atoms and distances in Å follow each position.
Sites, in units of the cell vectors:
N 0.5852 0.9616 0.6638  1 Tc 1.82
N 0.6714 0.5478 0.8362  1 Tc 1.82
Nd 0.7500 0.2500 0.5000  8 N 2.55-2.57
N 0.7116 0.3286 0.1638  1 Tc 1.82
N 0.2978 0.4148 0.3362  1 Tc 1.82
N 0.0786 0.7022 0.6638  1 Tc 1.82
N 0.1648 0.2884 0.8362  1 Tc 1.82
N 0.0384 0.9214 0.3362  1 Tc 1.82
Tc 0.5000 0.5000 0.0000  4 N 1.82
N 0.4522 0.8352 0.1638  1 Tc 1.82
Nd 0.0000 0.0000 0.0000  8 N 2.55-2.57
Tc 0.2500 0.7500 0.5000  4 N 1.82

Values from the calculation:
VASP energy = -95.99 eV per cell
formation energy without anion corrections = 0.0736 eV per atom



[8]
An optimized crystal structure of CoTcIr2, computed with PBE-GGA.

Unit cell a=2.6863 b=4.6515 c=5.3389 alpha=54.91 beta=90.00 gamma=90.00
Closest atoms and distances in Å follow each position.
Sites, in units of the cell vectors:
Ir 0.5000 0.5000 0.0000  2 Tc 2.67, 4 Co 2.68, 6 Ir 2.69
Co 0.0000 0.0000 0.5000  6 Ir 2.67-2.68, 4 Tc 2.69, 2 Co 2.69
Ir 0.0000 0.0000 0.0000  2 Co 2.67, 4 Tc 2.68, 6 Ir 2.69
Tc 0.5000 0.5000 0.5000  6 Ir 2.67-2.68, 4 Co 2.69, 2 Tc 2.69

Values from the calculation:
E above lowest polymorph = 89 meV per atom
formation energy = 0.002 eV per atom
VASP energy = -35.19 eV per cell



[9]
An optimized crystal structure of ZnCu3Pt3, computed with PBE-GGA.

Unit cell a=6.0013 b=6.0013 c=5.7621 alpha=90.00 beta=90.00 gamma=90.09
Closest atoms and distances in Å follow each position.
Sites, in units of the cell vectors:
Pt 0.0000 0.0000 0.7454  2 Zn 2.72, 6 Cu 2.72-2.78, 6 Pt 2.83-3.00
Zn 0.7295 0.7295 0.0001  6 Pt 2.58-2.72, 4 Cu 2.76-2.88
Cu 0.7299 0.2701 0.0000  6 Pt 2.57-2.72, 2 Zn 2.76, 2 Cu 2.88
Pt 0.4999 0.0001 0.2516  6 Cu 2.57-2.58, 2 Zn 2.58, 1 Pt 2.86
Cu 0.2826 0.2826 0.5002  6 Pt 2.58-2.78, 2 Cu 2.65, 2 Zn 2.88
Pt 0.0000 0.0000 0.2546  2 Zn 2.72, 6 Cu 2.72-2.78, 6 Pt 2.83-3.00
Zn 0.2705 0.2705 0.9999  6 Pt 2.58-2.72, 4 Cu 2.76-2.88
Cu 0.7174 0.7174 0.4998  6 Pt 2.58-2.78, 2 Cu 2.65, 2 Zn 2.88
Cu 0.2701 0.7299 0.0000  6 Pt 2.57-2.72, 2 Zn 2.76, 2 Cu 2.88
Cu 0.2763 0.7237 0.5000  6 Pt 2.57-2.74, 2 Cu 2.65
Pt 0.9999 0.5001 0.7484  6 Cu 2.57-2.58, 2 Zn 2.58, 1 Pt 2.86
Cu 0.7237 0.2763 0.5000  6 Pt 2.57-2.74, 2 Cu 2.65
Pt 0.5001 0.9999 0.7484  6 Cu 2.57-2.58, 2 Zn 2.58, 1 Pt 2.86
Pt 0.0001 0.4999 0.2516  6 Cu 2.57-2.58, 2 Zn 2.58, 1 Pt 2.86

Values from the calculation:
formation energy = -0.155 eV per atom
VASP energy = -65.54 eV per cell



[10]
An optimized crystal structure of LiPaRh2, computed with PBE-GGA.

Unit cell a=3.7086 b=4.2287 c=4.2287 alpha=90.00 beta=90.00 gamma=90.00
Closest atoms and distances in Å follow each position.
Sites, in units of the cell vectors:
Rh 0.0000 0.0000 0.5000  4 Li 2.81, 4 Pa 2.81, 4 Rh 2.99
Li 0.5000 0.0000 0.0000  8 Rh 2.81, 4 Pa 2.99
Rh 0.0000 0.5000 0.0000  4 Li 2.81, 4 Pa 2.81, 4 Rh 2.99
Pa 0.5000 0.5000 0.5000  8 Rh 2.81, 4 Li 2.99

Values from the calculation:
E above lowest polymorph = 0 meV per atom
formation energy = -0.729 eV per atom
VASP energy = -29.03 eV per cell



[11]
An optimized crystal structure of CsVI2, computed with PBE-GGA.

Unit cell a=5.9833 b=5.9833 c=5.9833 alpha=60.00 beta=60.00 gamma=60.00
Closest atoms and distances in Å follow each position.
Sites, in units of the cell vectors:
I 0.7500 0.7500 0.7500  4 V 3.66, 4 Cs 3.66
I 0.2500 0.2500 0.2500  4 Cs 3.66, 4 V 3.66
Cs 0.5000 0.5000 0.5000  8 I 3.66
V 0.0000 0.0000 0.0000  8 I 3.66

Values from the calculation:
VASP energy = -13.30 eV per cell
formation energy without anion corrections = -0.0579 eV per atom